1.
VASP calculation (GGA-PBE) on a geometry-optimized Li2AlAgH6 structure.

## Properties
Space group: R3, No. 146
Electronic total energy: -3.16 eV per atom
Mass density: 2.85 g cm⁻³
Calculated volume: 9.02 Å³ per atom

Unit cell a=5.211 b=5.211 c=5.211 alpha=55.76 beta=55.76 gamma=55.76
Fractional positions:
1 Li 0.000 0.000 0.000
2 Li 0.482 0.482 0.482
3 Al 0.792 0.792 0.792
4 Ag 0.264 0.264 0.264
5 H 0.044 0.437 0.691
6 H 0.168 0.874 0.600
7 H 0.437 0.691 0.044
8 H 0.600 0.168 0.874
9 H 0.691 0.044 0.437
10 H 0.874 0.600 0.168

2.
VASP calculation (GGA-PBE) on a geometry-optimized Nb2AlAgH structure.

## Properties
Space group: P4/mmm, No. 123
Electronic total energy: -6.12 eV per atom
D(E_F): 1.0 states/eV/cell
Mass density: 7.42 g cm⁻³
Calculated volume: 14.39 Å³ per atom

Unit cell a=3.977 b=3.977 c=4.550 alpha=90.00 beta=90.00 gamma=90.00
Fractional positions:
1 Nb 0.000 0.500 0.000
2 Nb 0.500 0.000 0.000
3 Al 0.000 0.000 0.500
4 Ag 0.500 0.500 0.500
5 H 0.500 0.500 0.000

3.
VASP calculation (GGA-PBE) on a geometry-optimized AlAgHPd2 structure.

## Properties
Space group: P4/mmm, No. 123
Electronic total energy: -4.37 eV per atom
D(E_F): 1.4 states/eV/cell
Mass density: 8.89 g cm⁻³
Calculated volume: 13.02 Å³ per atom

Unit cell a=4.019 b=4.019 c=4.030 alpha=90.00 beta=90.00 gamma=90.00
Fractional positions:
1 Al 0.000 0.000 0.000
2 Ag 0.500 0.500 0.000
3 H 0.500 0.500 0.500
4 Pd 0.000 0.500 0.500
5 Pd 0.500 0.000 0.500

4.
VASP calculation (GGA-PBE) on a geometry-optimized AlAgH2Pd structure.

## Properties
Space group: P4/mmm, No. 123
Electronic total energy: -3.45 eV per atom
D(E_F): 1.0 states/eV/cell
Mass density: 5.82 g cm⁻³
Calculated volume: 13.89 Å³ per atom

Unit cell a=3.540 b=3.540 c=5.544 alpha=90.00 beta=90.00 gamma=90.00
Fractional positions:
1 Al 0.000 0.000 0.000
2 Ag 0.500 0.500 0.000
3 H 0.000 0.500 0.500
4 H 0.500 0.000 0.500
5 Pd 0.500 0.500 0.500

5.
VASP calculation (GGA-PBE) on a geometry-optimized AlAgH2Pd7 structure.

## Properties
Space group: P4/mmm, No. 123
Electronic total energy: -4.64 eV per atom
D(E_F): 11.3 states/eV/cell
Mass density: 9.27 g cm⁻³
Calculated volume: 14.36 Å³ per atom

Unit cell a=3.892 b=3.892 c=10.425 alpha=90.00 beta=90.00 gamma=90.00
Fractional positions:
1 Al 0.000 0.000 0.000
2 Ag 0.000 0.000 0.500
3 H 0.500 0.500 0.196
4 H 0.500 0.500 0.804
5 Pd 0.000 0.500 0.189
6 Pd 0.000 0.500 0.811
7 Pd 0.500 0.000 0.189
8 Pd 0.500 0.000 0.811
9 Pd 0.500 0.500 0.000
10 Pd 0.500 0.500 0.378
11 Pd 0.500 0.500 0.622

6.
VASP calculation (GGA-PBE) on a geometry-optimized Sc2AlAgH structure.

## Properties
Polymorph energy (0 for the lowest one): 65 meV per atom
Space group: P4/mmm, No. 123
D(E_F): 3.9 states/eV/cell
Mass density: 4.64 g cm⁻³
Calculated volume: 16.17 Å³ per atom

Unit cell a=4.516 b=4.516 c=3.963 alpha=90.00 beta=90.00 gamma=90.00
Fractional positions:
1 Sc 0.000 0.500 0.000
2 Sc 0.500 0.000 0.000
3 Al 0.000 0.000 0.500
4 Ag 0.500 0.500 0.500
5 H 0.000 0.000 0.000

> What is the mass density in the first record?

2.85 g cm⁻³

Copy entry 6 word for word.
VASP calculation (GGA-PBE) on a geometry-optimized Sc2AlAgH structure.

## Properties
Polymorph energy (0 for the lowest one): 65 meV per atom
Space group: P4/mmm, No. 123
D(E_F): 3.9 states/eV/cell
Mass density: 4.64 g cm⁻³
Calculated volume: 16.17 Å³ per atom

Unit cell a=4.516 b=4.516 c=3.963 alpha=90.00 beta=90.00 gamma=90.00
Fractional positions:
1 Sc 0.000 0.500 0.000
2 Sc 0.500 0.000 0.000
3 Al 0.000 0.000 0.500
4 Ag 0.500 0.500 0.500
5 H 0.000 0.000 0.000

> calculated volume of number 4 (AlAgH2Pd)?

13.89 Å³ per atom